Below is Cd2Ag8Hg3 after structural relaxation, with properties calculated at the PBE level.

As for the density of states at the Fermi level: 4.361 states/eV/f.u. The calculation puts the formation energy at 0.1157 eV per atom.

The space group is R-3m (No. 166, hexagonal axes) and the conventional cell measures 5.5730, 5.5730 and 31.1535 Å, with angles of 90.00, 90.00 and 120.00 degrees. The inequivalent atoms are Cd at (0.0000, 0.0000, 0.1431), Ag at (0.0000, 0.0000, 0.2306), Ag at (0.0002, 0.5001, 0.2672), Hg at (0.0000, 0.0000, 0.3203) and Hg at (0.0000, 0.0000, 0.5000).